Entry 1:
Rb2As2Pd3 | PBE | relaxed

**DOS(E_F)**: 1.1 states/eV/f.u.
**ΔH_f (0 K)**: -0.418 eV/atom
**E**: -4.25 eV/atom

```
Rb2As2Pd3
1.0
6.4898 -2.0336 0.0000
6.4898 2.0336 0.0000
-4.3317 0.0000 6.8148
Rb As Pd
2 2 3
Cartesian
0.4371 0.0000 1.7766
8.2109 0.0000 5.0383
-1.2012 0.0000 4.8958
9.8492 0.0000 1.9191
3.8782 0.0000 0.6562
4.3240 0.0000 3.4074
4.7698 0.0000 6.1586
```

---

Entry 2:
ScTiMo4 | PBE | relaxed

**DOS(E_F)**: 6.6 states/eV/f.u.
**ΔH_f (0 K)**: 0.001 eV/atom
**E**: -9.59 eV/atom

```
ScTiMo4
1.0
0.0000 3.7527 3.7527
3.7527 0.0000 3.7527
3.7527 3.7527 0.0000
Sc Ti Mo
1 1 4
Cartesian
0.0000 0.0000 0.0000
1.8763 1.8763 1.8763
4.6910 2.8143 2.8143
2.8143 4.6910 2.8143
2.8143 2.8143 4.6910
4.6910 4.6910 4.6910
```

---

Entry 3:
RbMn2Se | PBE | relaxed

**Energy relative to the elements, uncorrected**: 0.33 eV/atom
**DOS(E_F)**: 4.9 states/eV/f.u.
**E**: -5.37 eV/atom

```
RbMn2Se
1.0
-2.6741 2.6741 8.3534
2.6741 -2.6741 8.3534
2.6741 2.6741 -8.3534
Rb Mn Se
2 4 2
Cartesian
2.6741 1.3371 2.0884
0.0000 1.3371 6.2651
0.0000 0.0000 0.0000
1.3371 1.3371 -4.1767
1.3371 -1.3371 4.1767
0.0000 2.6741 0.0000
2.6741 -1.3371 6.2651
0.0000 4.0112 2.0884
```

---

Entry 4:
SrNiHg | PBE | relaxed

**DOS(E_F)**: 1.7 states/eV/f.u.
**ΔH_f (0 K)**: -0.192 eV/atom
**E**: -2.78 eV/atom

```
SrNiHg
1.0
4.9058 0.0000 0.0000
0.0000 4.2738 0.0000
-0.7179 0.0000 7.3142
Sr Ni Hg
2 2 2
Cartesian
0.9202 1.0684 2.3192
3.2676 3.2053 4.9950
0.6900 3.2053 0.1026
3.4978 1.0684 7.2115
0.9520 1.0684 6.0000
3.2359 3.2053 1.3142
```

---

Entry 5:
Ti4Mn5Nb | PBE | relaxed

**DOS(E_F)**: 10.7 states/eV/f.u.
**ΔH_f (0 K)**: -0.224 eV/atom
**E**: -8.97 eV/atom

```
Ti4Mn5Nb
1.0
3.0089 0.0000 0.0000
0.0000 3.0089 0.0000
0.0000 0.0000 15.0184
Ti Mn Nb
4 5 1
Cartesian
0.0000 0.0000 1.4957
0.0000 0.0000 4.4702
0.0000 0.0000 10.5482
0.0000 0.0000 13.5227
1.5045 1.5045 0.0000
1.5045 1.5045 2.9742
1.5045 1.5045 5.9686
1.5045 1.5045 9.0498
1.5045 1.5045 12.0442
0.0000 0.0000 7.5092
```

---

Entry 6:
SrAgHg | PBE | relaxed

**DOS(E_F)**: 1.7 states/eV/f.u.
**ΔH_f (0 K)**: -0.315 eV/atom
**E**: -1.93 eV/atom

```
SrAgHg
1.0
-1.9674 1.9730 5.2226
1.9674 -1.9730 5.2226
1.9674 1.9730 -5.2226
Sr Ag Hg
1 1 1
Cartesian
0.0000 0.0000 0.0000
0.0000 0.0000 3.3062
0.0000 0.0000 7.1186
```

---

Entry 7:
RbCF5 | PBE | relaxed

**Energy relative to the elements, uncorrected**: -2.01 eV/atom
**DOS(E_F)**: 0.0 states/eV/f.u.
**E**: -4.81 eV/atom

```
RbCF5
1.0
3.8779 -2.4390 0.0000
3.8779 2.4390 0.0000
-0.0902 0.0000 6.6218
Rb C F
1 1 5
Cartesian
0.0000 0.0000 0.0000
3.3677 0.0000 3.3082
4.1401 1.0965 3.3143
2.6037 0.0000 2.2028
2.5848 0.0000 4.4000
4.9875 0.0000 6.6212
4.1401 -1.0965 3.3143
```

---

Entry 8:
Zn2FeRh | PBE | relaxed

**DOS(E_F)**: 2.9 states/eV/f.u.
**ΔH_f (0 K)**: -0.125 eV/atom
**E**: -4.72 eV/atom

```
Zn2FeRh
1.0
2.7238 -3.4523 0.0000
2.7238 3.4523 0.0000
0.0000 0.0000 2.8772
Zn Fe Rh
2 1 1
Cartesian
1.3619 1.7261 0.0000
1.3619 -1.7261 0.0000
0.0000 0.0000 1.4386
2.7238 0.0000 1.4386
```

---

Entry 9:
LuTh2Pb | PBE | relaxed

**DOS(E_F)**: 4.6 states/eV/f.u.
**ΔH_f (0 K)**: -0.083 eV/atom
**E**: -5.85 eV/atom

```
LuTh2Pb
1.0
4.2194 0.0000 0.0000
0.0000 4.2194 0.0000
0.0000 0.0000 6.9695
Lu Th Pb
1 2 1
Cartesian
0.0000 0.0000 0.0000
2.1097 2.1097 1.8450
2.1097 2.1097 5.1245
0.0000 0.0000 3.4847
```

---

Entry 10:
Ca4ZrRh | PBE | relaxed

**DOS(E_F)**: 10.2 states/eV/f.u.
**ΔH_f (0 K)**: 0.824 eV/atom
**E**: -3.16 eV/atom

```
Ca4ZrRh
1.0
0.0000 4.4560 4.4560
4.4560 0.0000 4.4560
4.4560 4.4560 0.0000
Ca Zr Rh
4 1 1
Cartesian
1.1146 1.1146 1.1146
3.3414 3.3414 1.1146
3.3414 1.1146 3.3414
1.1146 3.3414 3.3414
4.4560 4.4560 4.4560
6.6840 6.6840 6.6840
```

---

Entry 11:
DyYSe | PBE | relaxed

**Energy relative to the elements, uncorrected**: -1.11 eV/atom
**DOS(E_F)**: 2.2 states/eV/f.u.
**E**: -5.96 eV/atom

```
DyYSe
1.0
1.9444 1.1226 6.4090
-1.9444 1.1226 6.4090
0.0000 -2.2452 6.4090
Dy Y Se
1 1 1
Cartesian
0.0000 0.0000 0.0000
0.0000 0.0000 9.9056
0.0000 0.0000 14.5659
```

---

Entry 12:
RbPuBr5 | PBE | relaxed

**Energy relative to the elements, uncorrected**: -1.42 eV/atom
**DOS(E_F)**: 12.5 states/eV/f.u.
**E**: -4.80 eV/atom

```
RbPuBr5
1.0
6.5623 -4.3841 0.0000
6.5623 4.3841 0.0000
-4.6236 0.0000 10.3620
Rb Pu Br
2 2 10
Cartesian
3.0947 4.1114 7.7715
5.4065 -4.1114 2.5905
6.5623 0.0000 0.0000
4.2506 0.0000 5.1810
0.8059 2.4980 10.1902
2.0915 1.1075 3.9883
5.3835 2.4980 5.3528
-0.2203 -1.1075 9.1693
3.0947 0.4853 7.7715
5.4065 -0.4853 2.5905
8.7215 1.1075 1.1926
3.1177 -2.4980 5.0092
6.4097 -1.1075 6.3736
7.6952 -2.4980 0.1718
```

---

Entry 13:
Tb2CoNi3 | PBE | relaxed

**DOS(E_F)**: 6.9 states/eV/f.u.
**ΔH_f (0 K)**: -0.004 eV/atom
**E**: -5.62 eV/atom

```
Tb2CoNi3
1.0
-2.0730 2.5421 5.0117
2.0730 -2.5421 5.0117
2.0730 2.5421 -5.0117
Tb Co Ni
2 1 3
Cartesian
0.0000 0.0000 1.8729
0.0000 0.0000 8.1504
0.0000 0.0000 5.0117
2.0730 0.0000 0.0000
2.0730 0.0000 3.8609
0.0000 2.5421 1.1507
```

---

Entry 14:
Ho2PuMnN4 | PBE | relaxed

**Energy relative to the elements, uncorrected**: -1.13 eV/atom
**DOS(E_F)**: 6.9 states/eV/f.u.
**E**: -9.38 eV/atom

```
Ho2PuMnN4
1.0
1.6700 -5.6532 0.0000
1.6700 5.6532 0.0000
0.0000 0.0000 11.5117
Ho Pu Mn N
4 2 2 8
Cartesian
1.6700 4.1653 6.2710
1.6700 4.1653 10.9965
1.6700 -4.1653 0.5152
1.6700 -4.1653 5.2407
1.6700 1.1899 8.6338
1.6700 -1.1899 2.8779
1.6700 1.8004 2.8779
1.6700 -1.8004 8.6338
1.6700 4.7953 8.6338
1.6700 3.0350 1.5093
1.6700 3.0350 4.2465
1.6700 0.0000 0.0000
1.6700 0.0000 5.7558
1.6700 -3.0350 7.2652
1.6700 -3.0350 10.0023
1.6700 -4.7953 2.8779
```

---

Entry 15:
TbNd2Cu4 | PBE | relaxed

**DOS(E_F)**: 5.2 states/eV/f.u.
**ΔH_f (0 K)**: -0.157 eV/atom
**E**: -4.52 eV/atom

```
TbNd2Cu4
1.0
5.1442 -2.2203 0.0000
5.1442 2.2203 0.0000
-2.1385 0.0000 6.5398
Tb Nd Cu
1 2 4
Cartesian
0.0000 0.0000 0.0000
3.0187 0.0000 1.8119
5.1312 0.0000 4.7279
0.1066 0.0000 2.7829
2.0203 0.0000 4.8380
6.1296 0.0000 1.7019
8.0433 0.0000 3.7570
```

---

Entry 16:
Ac3Bi2Pd2Pt4 | PBE | relaxed

**DOS(E_F)**: 6.8 states/eV/f.u.
**ΔH_f (0 K)**: -0.766 eV/atom
**E**: -5.73 eV/atom

```
Ac3Bi2Pd2Pt4
1.0
4.6354 0.0000 0.0000
-2.3177 4.0144 0.0000
0.0000 0.0000 15.5090
Ac Bi Pd Pt
3 2 2 4
Cartesian
0.0000 0.0000 0.0000
0.0000 0.0000 4.0087
0.0000 0.0000 11.5003
0.0000 2.6762 8.9627
2.3177 1.3381 6.5463
0.0000 2.6762 1.9978
2.3177 1.3381 13.5112
0.0000 2.6762 5.9295
0.0000 2.6762 13.4954
2.3177 1.3381 2.0136
2.3177 1.3381 9.5795
```

---

Entry 17:
Cs2VPbBr6 | PBE | relaxed

**Energy relative to the elements, uncorrected**: -1.23 eV/atom
**DOS(E_F)**: 0.0 states/eV/f.u.
**E**: -3.69 eV/atom

```
Cs2VPbBr6
1.0
0.0000 5.6620 5.6620
5.6620 0.0000 5.6620
5.6620 5.6620 0.0000
Cs V Pb Br
2 1 1 6
Cartesian
2.8310 2.8310 2.8310
8.4930 8.4930 8.4930
0.0000 0.0000 0.0000
5.6620 5.6620 5.6620
5.6620 5.6620 2.6552
5.6620 2.6552 5.6620
8.6688 5.6620 5.6620
2.6552 5.6620 5.6620
5.6620 8.6688 5.6620
5.6620 5.6620 8.6688
```

---

Entry 18:
ZrNbAg | PBE | relaxed

**DOS(E_F)**: 2.8 states/eV/f.u.
**ΔH_f (0 K)**: 0.078 eV/atom
**E**: -7.08 eV/atom

```
ZrNbAg
1.0
4.6805 0.0000 0.0000
-2.3403 4.0535 0.0000
0.0000 0.0000 6.1590
Zr Nb Ag
2 2 2
Cartesian
0.0000 0.0000 1.5117
0.0000 0.0000 4.6473
0.0000 2.7023 0.4200
2.3403 1.3512 5.7391
0.0000 2.7023 3.5531
2.3403 1.3512 2.6059
```

---

Entry 19:
Ac6Sb3PS2 | PBE | relaxed

**Energy relative to the elements, uncorrected**: -1.51 eV/atom
**DOS(E_F)**: 4.0 states/eV/f.u.
**E**: -5.73 eV/atom

```
Ac6Sb3PS2
1.0
9.9830 -2.2953 0.0000
9.9830 2.2953 0.0000
-2.0643 0.0000 8.9154
Ac Sb P S
6 3 1 2
Cartesian
-0.4316 0.0000 2.1068
5.7153 0.0000 3.8009
4.8959 0.0000 8.1208
13.0058 0.0000 0.7946
12.1864 0.0000 5.1145
18.3333 0.0000 6.8086
1.6415 0.0000 7.4154
8.9509 0.0000 4.4577
16.2602 0.0000 1.5000
9.9830 0.0000 0.0000
2.6511 0.0000 2.9804
15.2507 0.0000 5.9350
```

---

Entry 20:
Lu2CoPt | PBE | relaxed

**DOS(E_F)**: 1.5 states/eV/f.u.
**ΔH_f (0 K)**: -0.794 eV/atom
**E**: -6.34 eV/atom

```
Lu2CoPt
1.0
3.3322 0.0000 0.0000
0.0000 3.3322 0.0000
0.0000 0.0000 6.7259
Lu Co Pt
2 1 1
Cartesian
0.0000 0.0000 1.6158
0.0000 0.0000 5.1101
1.6661 1.6661 0.0000
1.6661 1.6661 3.3630
```

---

Entry 21:
MnCrIn2 | PBE | relaxed

**DOS(E_F)**: 3.0 states/eV/f.u.
**ΔH_f (0 K)**: 0.319 eV/atom
**E**: -5.75 eV/atom

```
MnCrIn2
1.0
3.0155 -3.9115 0.0000
3.0155 3.9115 0.0000
0.0000 0.0000 3.0290
Mn Cr In
1 1 2
Cartesian
0.0000 0.0000 0.0000
3.0155 0.0000 0.0000
1.5077 1.9558 1.5145
1.5077 -1.9558 1.5145
```

---

Entry 22:
AlGa3Pt | PBE | relaxed

**DOS(E_F)**: 3.3 states/eV/f.u.
**ΔH_f (0 K)**: 0.022 eV/atom
**E**: -3.75 eV/atom

```
AlGa3Pt
1.0
4.8474 0.0000 0.0000
0.0000 4.8474 0.0000
0.0000 0.0000 4.8474
Al Ga Pt
1 3 1
Cartesian
0.0000 0.0000 0.0000
0.0000 2.4237 2.4237
2.4237 0.0000 2.4237
2.4237 2.4237 0.0000
2.4237 2.4237 2.4237
```

---

Entry 23:
TbTmPa2As4 | PBE | relaxed

**DOS(E_F)**: 8.1 states/eV/f.u.
**ΔH_f (0 K)**: -1.271 eV/atom
**E**: -7.11 eV/atom

```
TbTmPa2As4
1.0
7.0808 0.0000 0.0000
0.0000 4.0942 0.0000
-2.3668 0.0000 6.6843
Tb Tm Pa As
1 1 2 4
Cartesian
0.0000 0.0000 0.0000
-1.1834 2.0471 3.3422
2.3570 0.0000 3.3422
3.5404 2.0471 0.0000
-0.0031 0.0000 4.9970
1.1805 2.0471 1.6889
3.5336 2.0471 4.9954
4.7171 0.0000 1.6874
```

---

Entry 24:
TbErMnPd | PBE | relaxed

**DOS(E_F)**: 4.7 states/eV/f.u.
**ΔH_f (0 K)**: -0.275 eV/atom
**E**: -6.16 eV/atom

```
TbErMnPd
1.0
0.0000 3.5149 3.5149
3.5149 0.0000 3.5149
3.5149 3.5149 0.0000
Tb Er Mn Pd
1 1 1 1
Cartesian
0.0000 0.0000 0.0000
3.5149 3.5149 3.5149
5.2723 5.2723 5.2723
1.7574 1.7574 1.7574
```

---

Entry 25:
Al2ZnCuTc | PBE | relaxed

**DOS(E_F)**: 4.5 states/eV/f.u.
**ΔH_f (0 K)**: 0.743 eV/atom
**E**: -3.90 eV/atom

```
Al2ZnCuTc
1.0
4.7269 0.0000 0.0000
0.0000 4.7269 0.0000
0.0000 0.0000 4.7183
Al Zn Cu Tc
2 1 1 1
Cartesian
0.0000 2.3634 0.0000
2.3634 0.0000 0.0000
0.0000 0.0000 2.3592
2.3634 2.3634 2.3592
2.3634 2.3634 0.0000
```

---

Entry 26:
Lu3Pd | PBE | relaxed

**DOS(E_F)**: 4.3 states/eV/f.u.
**ΔH_f (0 K)**: -0.460 eV/atom
**E**: -5.15 eV/atom

```
Lu3Pd
1.0
-1.7849 2.6044 5.3711
1.7849 -2.6044 5.3711
1.7849 2.6044 -5.3711
Lu Pd
3 1
Cartesian
0.0000 0.0000 0.0000
1.7849 0.0000 3.1735
0.0000 2.6044 2.1976
0.0000 0.0000 5.3711
```